(1)
# Pm3Ni6P5 PBE relaxed
# * total magnetization: 0.00 μB/cell
# * DFT total energy: -6.392 eV/atom
# * crystal system: orthorhombic
# * DFT formation energy: -0.964 eV per atom
data_Pm3Ni6P5
_chemical_formula_sum 'Pm6 Ni12 P10'
_cell_length_a 3.8311
_cell_length_b 11.7007
_cell_length_c 9.5469
_cell_angle_alpha 90.00
_cell_angle_beta 90.00
_cell_angle_gamma 90.00
_space_group_name_H-M_alt 'P m m n'
_space_group_IT_number 59
loop_
_space_group_symop_operation_xyz
'x,y,z'
'-x,-y,-z'
'-x+1/2,-y+1/2,z'
'x+1/2,y+1/2,-z'
'x+1/2,-y,-z'
'-x+1/2,y,z'
'-x,y+1/2,-z'
'x,-y+1/2,z'
loop_
_atom_site_label
_atom_site_type_symbol
_atom_site_fract_x
_atom_site_fract_y
_atom_site_fract_z
Pm1 Pm 0.2500 0.0912 0.2480
Pm2 Pm 0.2500 0.7500 0.2490
Ni1 Ni 0.2500 0.0641 0.8901
Ni2 Ni 0.2500 0.2500 0.0069
Ni3 Ni 0.2500 0.2500 0.5129
Ni4 Ni 0.2500 0.5784 0.4924
P1 P 0.2500 0.0789 0.6426
P2 P 0.2500 0.6185 0.9896
P3 P 0.2500 0.7500 0.6119

(2)
# Zr2ZnRu2 PBE relaxed
# * total magnetization: 0.00 μB/cell
# * DFT total energy: -7.682 eV/atom
# * crystal system: tetragonal
# * DFT formation energy: -0.297 eV per atom
data_Zr2ZnRu2
_chemical_formula_sum 'Zr4 Zn2 Ru4'
_cell_length_a 7.4659
_cell_length_b 7.4659
_cell_length_c 3.2681
_cell_angle_alpha 90.00
_cell_angle_beta 90.00
_cell_angle_gamma 90.00
_space_group_name_H-M_alt 'P 4/m b m'
_space_group_IT_number 127
_space_group_name_Hall '-P 4 2ab'
loop_
_atom_site_label
_atom_site_type_symbol
_atom_site_fract_x
_atom_site_fract_y
_atom_site_fract_z
Zr1 Zr 0.1587 0.3413 0.0000
Zn1 Zn 0.0000 0.0000 0.5000
Ru1 Ru 0.1425 0.6425 0.5000

(3)
# LiTmNi2 PBE relaxed
# * polymorph energy (0 for the lowest one): 2.91 kJ per mole of atoms
# * total magnetization: 0.00 μB/cell
# * DFT total energy: -4.657 eV/atom
# * crystal system: cubic
# * DFT formation energy: -0.170 eV per atom
data_LiTmNi2
_chemical_formula_sum 'Li4 Tm4 Ni8'
_cell_length_a 6.2726
_cell_length_b 6.2726
_cell_length_c 6.2726
_cell_angle_alpha 90.00
_cell_angle_beta 90.00
_cell_angle_gamma 90.00
_space_group_name_H-M_alt 'F m -3 m'
_space_group_IT_number 225
_space_group_name_Hall '-F 4 2 3'
loop_
_atom_site_label
_atom_site_type_symbol
_atom_site_fract_x
_atom_site_fract_y
_atom_site_fract_z
Li1 Li 0.0000 0.0000 0.0000
Tm1 Tm 0.0000 0.0000 0.5000
Ni1 Ni 0.2500 0.2500 0.2500

(4)
# Ta2MnW PBE relaxed
# * total magnetization: 0.00 μB/cell
# * DFT total energy: -11.520 eV/atom
# * crystal system: orthorhombic
# * DFT formation energy: -0.063 eV per atom
data_Ta2MnW
_chemical_formula_sum 'Ta4 Mn2 W2'
_cell_length_a 3.1636
_cell_length_b 4.4775
_cell_length_c 8.9591
_cell_angle_alpha 90.00
_cell_angle_beta 90.00
_cell_angle_gamma 90.00
_space_group_name_H-M_alt 'I m m 2'
_space_group_IT_number 44
loop_
_space_group_symop_operation_xyz
'x,y,z'
'-x,-y,z'
'-x,y,z'
'x,-y,z'
'x+1/2,y+1/2,z+1/2'
'-x+1/2,-y+1/2,z+1/2'
'-x+1/2,y+1/2,z+1/2'
'x+1/2,-y+1/2,z+1/2'
loop_
_atom_site_label
_atom_site_type_symbol
_atom_site_fract_x
_atom_site_fract_y
_atom_site_fract_z
Ta1 Ta 0.0000 0.0000 0.0000
Ta2 Ta 0.0000 0.5000 0.2382
Mn1 Mn 0.0000 0.0000 0.4940
W1 W 0.0000 0.5000 0.7550

(5)
# NaBe2PdF8 PBE relaxed
# * total magnetization: 2.01 μB/cell
# * DFT total energy: -4.878 eV/atom
# * crystal system: monoclinic
# * energy relative to the elements, uncorrected: -2.4664 eV/atom
data_NaBe2PdF8
_chemical_formula_sum 'Na2 Be4 Pd2 F16'
_cell_length_a 7.8849
_cell_length_b 5.4602
_cell_length_c 7.1958
_cell_angle_alpha 90.00
_cell_angle_beta 91.99
_cell_angle_gamma 90.00
_space_group_name_H-M_alt 'C 1 2/m 1'
_space_group_IT_number 12
loop_
_space_group_symop_operation_xyz
'x,y,z'
'-x,-y,-z'
'-x,y,-z'
'x,-y,z'
'x+1/2,y+1/2,z'
'-x+1/2,-y+1/2,-z'
'-x+1/2,y+1/2,-z'
'x+1/2,-y+1/2,z'
loop_
_atom_site_label
_atom_site_type_symbol
_atom_site_fract_x
_atom_site_fract_y
_atom_site_fract_z
Na1 Na 0.0000 0.0000 0.0000
Be1 Be 0.1373 0.5000 0.2651
Pd1 Pd 0.0000 0.0000 0.5000
F1 F 0.0235 0.2610 0.2835
F2 F 0.2297 0.5000 0.0910
F3 F 0.2464 0.0000 0.5413

(6)
# ZrTaNiP2 PBE relaxed
# * total magnetization: 0.00 μB/cell
# * DFT total energy: -6.868 eV/atom
# * crystal system: tetragonal
# * DFT formation energy: 0.532 eV per atom
data_ZrTaNiP2
_chemical_formula_sum 'Zr1 Ta1 Ni1 P2'
_cell_length_a 4.3601
_cell_length_b 4.3601
_cell_length_c 4.6228
_cell_angle_alpha 90.00
_cell_angle_beta 90.00
_cell_angle_gamma 90.00
_space_group_name_H-M_alt 'P 4/m m m'
_space_group_IT_number 123
_space_group_name_Hall '-P 4 2'
loop_
_atom_site_label
_atom_site_type_symbol
_atom_site_fract_x
_atom_site_fract_y
_atom_site_fract_z
Zr1 Zr 0.0000 0.0000 0.0000
Ta1 Ta 0.5000 0.5000 0.0000
Ni1 Ni 0.0000 0.0000 0.5000
P1 P 0.0000 0.5000 0.5000